(1)
GGA-PBE Tm2Ni9Rh, relaxed; ΔH_f (0 K) = -2.14 eV/f.u.; DOS at the Fermi energy = 1.44 states/eV per atom; space group = R-3m, No. 166
1.0
-4.654 0.585 -1.331
-3.479 -2.753 2.023
-3.662 4.665 5.926
Tm Ni Rh
2 9 1
Direct
0.867 0.867 0.398
0.133 0.133 0.602
0.667 0.667 0.000
0.333 0.333 0.000
0.500 0.500 0.500
0.417 0.417 0.246
0.920 0.417 0.246
0.417 0.920 0.246
0.583 0.583 0.754
0.583 0.080 0.754
0.080 0.583 0.754
0.000 0.000 0.000

***

(2)
GGA-PBE Hf3Bi2H2, relaxed; DOS at the Fermi energy = 0.50 states/eV per atom; space group = Immm, No. 71
1.0
-0.891 -3.352 1.037
1.173 2.105 -4.827
8.300 -3.013 3.721
Hf Bi H
3 2 2
Direct
0.000 0.000 0.000
0.000 0.596 0.192
0.000 0.404 0.808
0.000 0.827 0.654
0.000 0.173 0.346
0.748 0.248 0.000
0.252 0.752 0.000

***

(3)
GGA-PBE SrIrPb2, relaxed; ΔH_f (0 K) = -0.43 eV/f.u.; DOS at the Fermi energy = 0.60 states/eV per atom; space group = Immm, No. 71
1.0
-6.171 0.165 1.553
-2.064 -4.369 4.144
3.862 4.933 -1.128
Ir Pb Sr
1 2 1
Direct
0.750 0.250 0.500
0.952 0.952 0.000
0.548 0.548 0.000
0.250 0.750 0.500

***

(4)
GGA-PBE Ta2HOsRh, relaxed; energy above the most stable polymorph in this dataset = 11 meV/atom; DOS at the Fermi energy = 0.71 states/eV per atom; space group = P4/mmm, No. 123
1.0
-2.415 -2.224 2.591
2.417 -3.355 -0.626
2.192 1.033 2.929
Rh Os H Ta
1 1 1 2
Direct
0.500 0.500 0.500
0.000 0.000 0.500
0.000 0.000 0.000
0.000 0.500 0.000
0.500 0.000 0.000

***

(5)
GGA-PBE Mg6GaCu2, relaxed; ΔH_f (0 K) = -0.94 eV/f.u.; DOS at the Fermi energy = 0.32 states/eV per atom; space group = Immm, No. 71
1.0
7.679 0.133 -0.392
-2.786 7.157 0.392
-2.942 -3.313 6.286
Mg Ga Cu
12 2 4
Direct
0.529 0.715 0.814
0.471 0.285 0.186
0.099 0.285 0.814
0.901 0.715 0.186
0.804 0.750 0.553
0.196 0.250 0.447
0.196 0.750 0.946
0.804 0.250 0.054
0.698 0.365 0.668
0.302 0.635 0.332
0.302 0.970 0.668
0.698 0.030 0.332
0.000 0.500 0.500
0.000 0.000 0.000
0.500 0.373 0.873
0.500 0.627 0.127
0.669 0.000 0.669
0.331 0.000 0.331

***

(6)
GGA-PBE SiAgTe3, relaxed; energy above the most stable polymorph in this dataset = 714 meV/atom; DOS at the Fermi energy = 0.69 states/eV per atom; space group = Pm-3m, No. 221; formation energy from raw total energies = 4.2 eV/f.u.
1.0
-0.292 -1.824 -5.053
1.462 -4.897 1.683
-5.169 -1.282 0.761
Si Te Ag
1 3 1
Direct
0.500 0.500 0.500
0.000 0.500 0.000
0.000 0.000 0.500
0.500 0.000 0.000
0.000 0.000 0.000

***

(7)
GGA-PBE Bi5Sb2Pb12, relaxed; energy above the most stable polymorph in this dataset = 0 meV/atom; DOS at the Fermi energy = 0.54 states/eV per atom; space group = C2/m, No. 12; formation energy from raw total energies = 1.1 eV/f.u.
1.0
-6.503 2.962 0.179
-1.523 -8.127 7.873
1.819 -0.995 11.228
Bi Sb Pb
5 2 12
Direct
0.401 0.198 0.198
0.865 0.320 0.320
0.500 0.000 0.000
0.135 0.680 0.680
0.599 0.802 0.802
0.000 0.234 0.766
0.000 0.766 0.234
0.055 0.890 0.890
0.225 0.523 0.062
0.225 0.062 0.523
0.610 0.629 0.190
0.610 0.190 0.629
0.226 0.441 0.441
0.774 0.559 0.559
0.390 0.371 0.810
0.390 0.810 0.371
0.775 0.477 0.938
0.775 0.938 0.477
0.945 0.110 0.110

***

(8)
GGA-PBE Li2CaZr, relaxed; ΔH_f (0 K) = 1.63 eV/f.u.; energy above the most stable polymorph in this dataset = 151 meV/atom; DOS at the Fermi energy = 0.88 states/eV per atom; space group = Fm-3m, No. 225
1.0
0.000 3.625 3.625
3.625 0.000 3.625
3.625 3.625 0.000
Ca Zr Li
1 1 2
Direct
0.000 0.000 0.000
0.500 0.500 0.500
0.250 0.250 0.250
0.750 0.750 0.750

***

(9)
GGA-PBE TbCd20Ni2, relaxed; ΔH_f (0 K) = -1.81 eV/f.u.; DOS at the Fermi energy = 0.35 states/eV per atom; space group = Fd-3m, No. 227
1.0
-2.236 -6.334 -8.874
-8.631 -7.023 0.209
-9.014 2.076 -6.189
Tb Cd Ni
2 40 4
Direct
0.000 0.000 0.000
0.250 0.250 0.250
0.328 0.801 0.801
0.801 0.328 0.069
0.801 0.069 0.328
0.069 0.801 0.801
0.328 0.069 0.801
0.801 0.801 0.328
0.801 0.801 0.069
0.069 0.328 0.801
0.328 0.801 0.069
0.801 0.069 0.801
0.801 0.328 0.801
0.069 0.801 0.328
0.922 0.449 0.449
0.449 0.922 0.181
0.449 0.181 0.922
0.181 0.449 0.449
0.922 0.181 0.449
0.449 0.449 0.922
0.449 0.449 0.181
0.181 0.922 0.449
0.922 0.449 0.181
0.449 0.181 0.449
0.449 0.922 0.449
0.181 0.449 0.922
0.637 0.637 0.363
0.363 0.363 0.637
0.637 0.363 0.637
0.363 0.637 0.363
0.637 0.363 0.363
0.363 0.637 0.637
0.613 0.613 0.887
0.887 0.887 0.613
0.613 0.887 0.613
0.887 0.613 0.887
0.613 0.887 0.887
0.887 0.613 0.613
0.125 0.125 0.125
0.125 0.125 0.625
0.125 0.625 0.125
0.625 0.125 0.125
0.625 0.625 0.625
0.625 0.625 0.125
0.625 0.125 0.625
0.125 0.625 0.625

***

(10)
GGA-PBE Sm4CO3, relaxed; DOS at the Fermi energy = 0.27 states/eV per atom; space group = P2/c, No. 13; formation energy from raw total energies = -17.9 eV/f.u.
1.0
-4.967 3.670 0.207
1.287 -2.043 5.677
4.237 5.674 1.081
C O Sm
2 6 8
Direct
0.750 0.000 0.869
0.250 0.000 0.131
0.750 0.000 0.380
0.250 0.000 0.620
0.750 0.500 0.621
0.750 0.500 0.132
0.250 0.500 0.379
0.250 0.500 0.868
0.995 0.248 0.630
0.500 0.246 0.879
0.495 0.248 0.370
0.000 0.246 0.121
0.000 0.754 0.879
0.505 0.752 0.630
0.500 0.754 0.121
0.005 0.752 0.370

***

(11)
GGA-PBE Na2PtI, relaxed; energy above the most stable polymorph in this dataset = 74 meV/atom; DOS at the Fermi energy = 0.67 states/eV per atom; space group = Fm-3m, No. 225; formation energy from raw total energies = -0.6 eV/f.u.
1.0
0.000 3.636 3.636
3.636 0.000 3.636
3.636 3.636 0.000
I Na Pt
1 2 1
Direct
0.000 0.000 0.000
0.250 0.250 0.250
0.750 0.750 0.750
0.500 0.500 0.500

***

(12)
GGA-PBE Mg2CoMo, relaxed; ΔH_f (0 K) = 1.54 eV/f.u.; energy above the most stable polymorph in this dataset = 274 meV/atom; DOS at the Fermi energy = 0.95 states/eV per atom; space group = P4/mmm, No. 123
1.0
4.207 0.000 0.000
0.000 3.879 0.000
0.000 0.000 3.879
Co Mg Mo
1 2 1
Direct
0.500 0.000 0.500
0.000 0.000 0.000
0.000 0.500 0.500
0.500 0.500 0.000

***

(13)
GGA-PBE CaErGeN3, relaxed; space group = P2_1/m, No. 11; formation energy from raw total energies = -4.5 eV/f.u.
1.0
3.294 0.000 0.000
0.000 6.662 0.875
0.000 -1.788 9.009
Ca Er Ge N
2 2 2 6
Direct
0.750 0.823 0.785
0.250 0.177 0.215
0.250 0.639 0.121
0.750 0.361 0.879
0.250 0.120 0.594
0.750 0.880 0.406
0.250 0.836 0.513
0.750 0.875 0.210
0.750 0.392 0.120
0.750 0.164 0.487
0.250 0.608 0.880
0.250 0.125 0.790

***

(14)
GGA-PBE BaAuI, relaxed; energy above the most stable polymorph in this dataset = 1 meV/atom; DOS at the Fermi energy = 0.29 states/eV per atom; space group = C2/m, No. 12; formation energy from raw total energies = -3.6 eV/f.u.
1.0
12.030 0.000 -0.002
0.000 4.965 0.000
-0.050 0.000 8.597
I Au Ba
4 4 4
Direct
0.162 0.000 0.331
0.838 0.000 0.669
0.162 0.500 0.831
0.838 0.500 0.169
0.510 0.000 0.333
0.490 0.000 0.667
0.510 0.500 0.833
0.490 0.500 0.167
0.323 0.000 0.999
0.677 0.000 0.001
0.323 0.500 0.499
0.677 0.500 0.501

***

(15)
GGA-PBE SrCa5Ac2, relaxed; ΔH_f (0 K) = 0.67 eV/f.u.; DOS at the Fermi energy = 1.56 states/eV per atom; space group = Immm, No. 71
1.0
-3.373 1.352 1.208
-6.274 -5.724 -5.046
-2.398 -6.689 6.862
Sr Ca Ac
1 5 2
Direct
0.000 0.000 0.000
0.000 0.500 0.500
0.629 0.602 0.139
0.371 0.398 0.861
0.371 0.861 0.398
0.629 0.139 0.602
0.745 0.755 0.755
0.255 0.245 0.245

***

(16)
GGA-PBE BC3, relaxed; ΔH_f (0 K) = 1.30 eV/f.u.; energy above the most stable polymorph in this dataset = 84 meV/atom; DOS at the Fermi energy = 0.19 states/eV per atom; space group = Pmm2, No. 25
1.0
-0.039 -2.459 -0.782
3.630 -0.193 0.426
-0.999 -2.353 7.449
B C
3 9
Direct
0.500 0.505 0.167
0.000 0.003 0.000
0.000 0.003 0.334
0.000 0.243 0.167
0.500 0.735 0.986
0.500 0.500 0.505
0.000 0.258 0.510
0.500 0.735 0.347
0.500 0.500 0.829
0.000 0.258 0.823
0.000 0.003 0.667
0.500 0.759 0.667

***

(17)
GGA-PBE In7Ga2Bi2, relaxed; ΔH_f (0 K) = 0.54 eV/f.u.; DOS at the Fermi energy = 0.36 states/eV per atom; space group = C2/m, No. 12
1.0
5.853 0.140 -0.235
-2.045 5.486 -0.235
-0.266 -0.393 9.319
In Ga Bi
7 2 2
Direct
0.206 0.577 0.142
0.423 0.794 0.858
0.794 0.423 0.858
0.577 0.206 0.142
0.000 0.000 0.000
0.237 0.237 0.714
0.763 0.763 0.286
0.799 0.799 0.636
0.201 0.201 0.364
0.732 0.268 0.500
0.268 0.732 0.500

***

(18)
GGA-PBE AgGe2Pb2, relaxed; ΔH_f (0 K) = 1.55 eV/f.u.; energy above the most stable polymorph in this dataset = 164 meV/atom; DOS at the Fermi energy = 0.59 states/eV per atom; space group = P4/mbm, No. 127
1.0
-2.612 -1.403 -7.400
-6.383 -3.745 2.963
-2.123 3.663 0.055
Pb Ge Ag
4 4 2
Direct
0.326 0.826 0.000
0.826 0.674 0.000
0.674 0.174 0.000
0.174 0.326 0.000
0.113 0.613 0.500
0.613 0.887 0.500
0.887 0.387 0.500
0.387 0.113 0.500
0.000 0.000 0.000
0.500 0.500 0.000

***

(19)
GGA-PBE Si2AgHg, relaxed; DOS at the Fermi energy = 0.49 states/eV per atom; space group = Pmmm, No. 47; formation energy from raw total energies = 2.1 eV/f.u.
1.0
2.880 0.000 0.000
0.000 4.858 0.000
0.000 0.000 5.363
Ag Hg Si
1 1 2
Direct
0.500 0.000 0.500
0.000 0.500 0.500
0.000 0.000 0.000
0.500 0.500 0.000

***

(20)
GGA-PBE ReSiIr4, relaxed; DOS at the Fermi energy = 1.70 states/eV per atom; space group = F-43m, No. 216; formation energy from raw total energies = 4.7 eV/f.u.
1.0
0.000 3.625 3.625
3.625 0.000 3.625
3.625 3.625 0.000
Re Si Ir
1 1 4
Direct
0.750 0.750 0.750
0.000 0.000 0.000
0.875 0.375 0.375
0.375 0.375 0.875
0.375 0.875 0.375
0.375 0.375 0.375

***

| no. | V (Å³/atom) | energy (eV per atom) |
| --- | --- | --- |
| 1 | 13.55 | -5.8721 |
| 2 | 19.02 | -6.6295 |
| 3 | 27.09 | -4.5969 |
| 4 | 13.30 | -9.3700 |
| 5 | 19.21 | -2.4138 |
| 6 | 31.14 | -2.7094 |
| 7 | 33.60 | -3.7368 |
| 8 | 23.82 | -3.1872 |
| 9 | 21.19 | -1.5784 |
| 10 | 16.09 | -7.6093 |
| 11 | 24.04 | -2.7163 |
| 12 | 15.82 | -4.8965 |
| 13 | 16.90 | -6.7784 |
| 14 | 42.79 | -3.4505 |
| 15 | 44.38 | -2.4045 |
| 16 | 6.20 | -8.2624 |
| 17 | 27.35 | -2.9499 |
| 18 | 26.91 | -3.5898 |
| 19 | 18.76 | -2.9853 |
| 20 | 15.87 | -8.1067 |